# 1
Dy2PdO4 | PBE | optimized geometry

abc: 5.600 5.604 6.652
angles: 114.91 90.00 90.00
Element x y z (fractional)
Dy 0.000 0.659 0.319
Dy 0.000 0.341 0.681
Dy 0.500 0.841 0.681
Dy 0.500 0.159 0.319
Pd 0.000 0.000 0.000
Pd 0.500 0.500 0.000
O 0.825 0.675 0.000
O 0.750 0.510 0.500
O 0.750 0.010 0.500
O 0.675 0.175 0.000
O 0.325 0.825 0.000
O 0.250 0.990 0.500
O 0.250 0.490 0.500
O 0.175 0.325 0.000

Calculated values
ΔE_f (raw)   -2.67 eV/atom
Energy relative to the lowest polymorph listed for this composition   0.0 kJ per mole of atoms
Space group   Cmce (64)

***

# 2
DyPuPdO6 | PBE | optimized geometry

abc: 5.343 5.343 10.045
angles: 90.00 90.00 120.00
Last column: magnetic moment on the atom in μB.
Element x y z (fractional)
Dy 0.000 0.000 0.000  -0.01
Dy 0.000 0.000 0.500  -0.01
Pu 0.667 0.333 0.250  2.93
Pu 0.333 0.667 0.750  2.93
Pd 0.333 0.667 0.250  0.28
Pd 0.667 0.333 0.750  0.28
O 0.651 0.655 0.135  -0.04
O 0.003 0.349 0.135  -0.04
O 0.349 0.004 0.635  -0.04
O 0.997 0.651 0.865  -0.04
O 0.345 0.349 0.365  -0.04
O 0.003 0.655 0.365  -0.04
O 0.655 0.004 0.865  -0.04
O 0.651 0.996 0.365  -0.04
O 0.997 0.345 0.635  -0.04
O 0.345 0.996 0.135  -0.04
O 0.655 0.651 0.635  -0.04
O 0.349 0.345 0.865  -0.04

Calculated values
ΔE_f (raw)   -2.18 eV/atom
Space group   P-31c (163)

***

# 3
Rb2Dy2PdO6 | PBE | optimized geometry

abc: 5.797 5.797 6.889
angles: 97.45 97.45 119.60
Element x y z (fractional)
Rb 0.837 0.163 0.000
Rb 0.163 0.837 0.000
Dy 0.335 0.665 0.500
Dy 0.665 0.335 0.500
Pd 0.000 0.000 0.500
O 0.746 0.746 0.667
O 0.048 0.361 0.665
O 0.254 0.254 0.333
O 0.361 0.048 0.665
O 0.952 0.639 0.335
O 0.639 0.952 0.335

Calculated values
ΔE_f (raw)   -2.08 eV/atom
Space group   C2/m (12)

***

# 4
Sr2DyPdO5 | PBE | optimized geometry

abc: 6.082 6.501 6.501
angles: 90.00 90.00 90.00
Last column: magnetic moment on the atom in μB.
Element x y z (fractional)
Sr 0.500 0.663 0.163  0.00
Sr 0.500 0.163 0.337  0.00
Sr 0.500 0.837 0.663  0.00
Sr 0.500 0.337 0.837  0.00
Dy 0.000 0.500 0.500  -0.02
Dy 0.000 0.000 0.000  -0.02
Pd 0.000 0.000 0.500  0.32
Pd 0.000 0.500 0.000  0.32
O 0.500 0.500 0.500  0.27
O 0.500 0.000 0.000  0.27
O 0.212 0.163 0.663  0.09
O 0.212 0.837 0.337  0.09
O 0.212 0.337 0.163  0.09
O 0.212 0.663 0.837  0.09
O 0.788 0.163 0.663  0.09
O 0.788 0.663 0.837  0.09
O 0.788 0.837 0.337  0.09
O 0.788 0.337 0.163  0.09

Calculated values
ΔE_f (raw)   -2.01 eV/atom
Space group   P4/mbm (127)

***

# 5
SrDy2PdO5 | PBE | optimized geometry

abc: 5.856 6.509 6.509
angles: 90.00 90.00 90.00
Element x y z (fractional)
Sr 0.000 0.500 0.500
Sr 0.000 0.000 0.000
Dy 0.500 0.673 0.173
Dy 0.500 0.173 0.327
Dy 0.500 0.827 0.673
Dy 0.500 0.327 0.827
Pd 0.000 0.000 0.500
Pd 0.000 0.500 0.000
O 0.500 0.500 0.500
O 0.500 0.000 0.000
O 0.256 0.144 0.644
O 0.256 0.856 0.356
O 0.256 0.356 0.144
O 0.256 0.644 0.856
O 0.744 0.144 0.644
O 0.744 0.644 0.856
O 0.744 0.856 0.356
O 0.744 0.356 0.144

Calculated values
ΔE_f (raw)   -2.67 eV/atom
Space group   P4/mbm (127)

***

# 6
DyTl2PdO6 | PBE | optimized geometry

abc: 5.708 5.706 5.991
angles: 61.54 61.51 59.99
Element x y z (fractional)
Dy 0.810 0.810 0.569
Tl 0.546 0.547 0.361
Tl 0.028 0.028 0.916
Pd 0.321 0.321 0.038
O 0.579 0.188 0.257
O 0.188 0.976 0.257
O 0.976 0.579 0.257
O 0.432 0.677 0.786
O 0.677 0.104 0.787
O 0.105 0.432 0.786

Calculated values
ΔE_f (raw)   -1.22 eV/atom
Space group   R3 (146)

***

# 7
Dy2TlPdO5 | PBE | optimized geometry

abc: 5.833 6.619 6.619
angles: 90.00 90.00 90.00
Last column: magnetic moment on the atom in μB.
Element x y z (fractional)
Dy 0.500 0.673 0.173  -0.01
Dy 0.500 0.173 0.327  -0.01
Dy 0.500 0.827 0.673  -0.01
Dy 0.500 0.327 0.827  -0.01
Tl 0.000 0.500 0.500  0.04
Tl 0.000 0.000 0.000  0.04
Pd 0.000 0.000 0.500  0.24
Pd 0.000 0.500 0.000  0.24
O 0.500 0.500 0.500  0.24
O 0.500 0.000 0.000  0.24
O 0.267 0.136 0.636  0.07
O 0.267 0.864 0.364  0.07
O 0.267 0.364 0.136  0.07
O 0.267 0.636 0.864  0.07
O 0.733 0.136 0.636  0.07
O 0.733 0.636 0.864  0.07
O 0.733 0.864 0.364  0.07
O 0.733 0.364 0.136  0.07

Calculated values
ΔE_f (raw)   -2.10 eV/atom
Space group   P4/mbm (127)

***

# 8
Dy2ZnPdO6 | PBE | optimized geometry

abc: 5.352 5.748 7.709
angles: 90.00 90.02 90.00
Element x y z (fractional)
Dy 0.024 0.923 0.251
Dy 0.524 0.577 0.751
Dy 0.976 0.077 0.749
Dy 0.476 0.423 0.249
Zn 0.500 0.000 0.000
Zn 0.000 0.500 0.500
Pd 0.500 0.000 0.500
Pd 0.000 0.500 0.000
O 0.310 0.690 0.060
O 0.810 0.810 0.560
O 0.690 0.310 0.940
O 0.190 0.190 0.440
O 0.318 0.698 0.435
O 0.818 0.802 0.935
O 0.682 0.302 0.565
O 0.182 0.198 0.065
O 0.874 0.549 0.247
O 0.374 0.951 0.747
O 0.126 0.451 0.753
O 0.626 0.049 0.253

Calculated values
ΔE_f (raw)   -2.19 eV/atom
Space group   P2_1/c (14)

***

# 9
Pm2DyO | PBE | optimized geometry

abc: 3.639 3.639 9.134
angles: 78.51 78.51 60.00
Element x y z (fractional)
Pm 0.719 0.719 0.843
Pm 0.281 0.281 0.157
O 0.000 0.000 0.000
Dy 0.500 0.500 0.500

Calculated values
ΔE_f (raw)   -1.26 eV/atom
Energy relative to the lowest polymorph listed for this composition   0.0 kJ per mole of atoms
Space group   R-3m (166)

***

# 10
PmDyO3 | PBE | optimized geometry

abc: 3.557 5.837 7.358
angles: 90.00 103.99 90.00
Element x y z (fractional)
Pm 0.818 0.536 0.637
Pm 0.182 0.036 0.363
Dy 0.456 0.979 0.912
Dy 0.544 0.479 0.088
O 0.685 0.308 0.369
O 0.315 0.808 0.631
O 0.973 0.693 0.947
O 0.027 0.193 0.053
O 0.623 0.814 0.245
O 0.377 0.314 0.755

Calculated values
ΔE_f (raw)   -3.43 eV/atom
Space group   Cmc2_1 (36)

***

# 11
Pm2DyO | PBE | optimized geometry

abc: 3.240 3.240 9.014
angles: 90.00 90.00 90.00
Element x y z (fractional)
Pm 0.000 0.000 0.828
Pm 0.000 0.000 0.172
O 0.500 0.500 0.000
Dy 0.500 0.500 0.500

Calculated values
ΔE_f (raw)   -0.82 eV/atom
Energy relative to the lowest polymorph listed for this composition   43.0 kJ per mole of atoms
Space group   P4/mmm (123)

***

# 12
Pm2DyO4 | PBE | optimized geometry

abc: 3.520 6.072 6.465
angles: 120.72 105.80 90.00
Element x y z (fractional)
Pm 0.696 0.694 0.391
Pm 0.304 0.306 0.609
Dy 0.000 0.000 0.000
O 0.872 0.160 0.743
O 0.128 0.840 0.257
O 0.641 0.260 0.283
O 0.359 0.740 0.717

Calculated values
ΔE_f (raw)   -3.12 eV/atom
Space group   C2/m (12)

***

# 13
PmDyO2 | PBE | optimized geometry

abc: 3.444 3.444 6.293
angles: 74.12 74.12 60.00
Element x y z (fractional)
Pm 0.495 0.495 0.516
Dy 0.672 0.672 0.983
O 0.072 0.072 0.785
O 0.261 0.261 0.216

Calculated values
ΔE_f (raw)   -2.71 eV/atom
Energy relative to the lowest polymorph listed for this composition   13.4 kJ per mole of atoms
Space group   R3m (160)

***

# 14
PmDyO3 | PBE | optimized geometry

abc: 5.726 5.726 6.460
angles: 63.69 63.69 60.00
Element x y z (fractional)
Pm 0.143 0.143 0.570
Pm 0.857 0.857 0.430
Dy 0.351 0.351 0.946
Dy 0.649 0.649 0.054
O 0.264 0.953 0.247
O 0.953 0.536 0.247
O 0.536 0.264 0.247
O 0.736 0.464 0.753
O 0.047 0.736 0.753
O 0.464 0.047 0.753

Calculated values
ΔE_f (raw)   -3.32 eV/atom
Space group   R32 (155)

***

# 15
Pm3Dy5O12 | PBE | optimized geometry

abc: 11.795 11.795 11.795
angles: 109.47 109.47 109.47
Element x y z (fractional)
Pm 0.750 0.375 0.125
Pm 0.875 0.750 0.125
Pm 0.375 0.750 0.625
Pm 0.250 0.125 0.375
Pm 0.875 0.125 0.250
Pm 0.375 0.625 0.250
Pm 0.625 0.375 0.750
Pm 0.125 0.875 0.750
Pm 0.750 0.875 0.625
Pm 0.625 0.250 0.375
Pm 0.125 0.250 0.875
Pm 0.250 0.625 0.875
O 0.718 0.130 0.043
O 0.325 0.543 0.412
O 0.957 0.370 0.282
O 0.543 0.218 0.130
O 0.587 0.718 0.675
O 0.957 0.588 0.175
O 0.325 0.782 0.413
O 0.088 0.913 0.130
O 0.588 0.957 0.675
O 0.718 0.587 0.175
O 0.782 0.457 0.370
O 0.825 0.912 0.043
O 0.130 0.718 0.543
O 0.370 0.412 0.087
O 0.087 0.912 0.370
O 0.413 0.130 0.588
O 0.087 0.175 0.218
O 0.457 0.675 0.088
O 0.825 0.913 0.282
O 0.130 0.413 0.088
O 0.370 0.957 0.782
O 0.588 0.630 0.413
O 0.912 0.825 0.543
O 0.782 0.325 0.913
O 0.412 0.370 0.587
O 0.088 0.175 0.457
O 0.218 0.675 0.087
O 0.175 0.087 0.718
O 0.630 0.043 0.218
O 0.870 0.587 0.912
O 0.543 0.325 0.912
O 0.587 0.870 0.412
O 0.913 0.825 0.782
O 0.913 0.088 0.630
O 0.870 0.282 0.457
O 0.175 0.088 0.957
O 0.630 0.588 0.913
O 0.412 0.043 0.325
O 0.282 0.413 0.825
O 0.218 0.543 0.630
O 0.912 0.087 0.870
O 0.675 0.218 0.587
O 0.457 0.782 0.870
O 0.043 0.412 0.825
O 0.413 0.282 0.325
O 0.043 0.630 0.718
O 0.675 0.457 0.588
O 0.282 0.870 0.957
Dy 0.125 0.375 0.250
Dy 0.000 0.500 0.000
Dy 0.000 0.000 0.000
Dy 0.375 0.250 0.125
Dy 0.500 0.000 0.500
Dy 0.500 0.500 0.000
Dy 0.125 0.750 0.375
Dy 0.750 0.125 0.875
Dy 0.750 0.625 0.375
Dy 0.375 0.125 0.750
Dy 0.625 0.875 0.250
Dy 0.500 0.500 0.500
Dy 0.500 0.000 0.000
Dy 0.000 0.000 0.500
Dy 0.250 0.375 0.625
Dy 0.250 0.875 0.125
Dy 0.000 0.500 0.500
Dy 0.875 0.250 0.625
Dy 0.625 0.750 0.875
Dy 0.875 0.625 0.750

Calculated values
ΔE_f (raw)   -3.35 eV/atom
Space group   Ia-3d (230)

***

# 16
PmDy2O | PBE | optimized geometry

abc: 3.522 3.522 9.052
angles: 78.78 78.78 60.00
Element x y z (fractional)
Pm 0.500 0.500 0.500
O 0.000 0.000 0.000
Dy 0.718 0.718 0.845
Dy 0.282 0.282 0.155

Calculated values
ΔE_f (raw)   -1.35 eV/atom
Energy relative to the lowest polymorph listed for this composition   0.0 kJ per mole of atoms
Space group   R-3m (166)

***

# 17
PmDy2O | PBE | optimized geometry

abc: 3.196 3.196 8.834
angles: 90.00 90.00 90.00
Element x y z (fractional)
Pm 0.500 0.500 0.500
O 0.500 0.500 0.000
Dy 0.000 0.000 0.826
Dy 0.000 0.000 0.174

Calculated values
ΔE_f (raw)   -0.80 eV/atom
Energy relative to the lowest polymorph listed for this composition   52.7 kJ per mole of atoms
Space group   P4/mmm (123)

***

# 18
Pm6DyO12 | PBE | optimized geometry

abc: 6.798 6.798 6.798
angles: 99.42 99.42 99.42
Last column: magnetic moment on the atom in μB.
Element x y z (fractional)
Pm 0.137 0.295 0.608  -0.01
Pm 0.705 0.392 0.863  -0.01
Pm 0.392 0.863 0.705  -0.01
Pm 0.863 0.705 0.392  -0.01
Pm 0.295 0.608 0.137  -0.01
Pm 0.608 0.137 0.295  -0.01
Dy 0.000 0.000 0.000  0.03
O 0.440 0.178 0.581  0.26
O 0.178 0.581 0.440  0.26
O 0.581 0.440 0.178  0.26
O 0.560 0.822 0.419  0.26
O 0.822 0.419 0.560  0.26
O 0.419 0.560 0.822  0.26
O 0.064 0.938 0.681  0.18
O 0.319 0.936 0.062  0.18
O 0.062 0.319 0.936  0.18
O 0.936 0.062 0.319  0.18
O 0.681 0.064 0.938  0.18
O 0.938 0.681 0.064  0.18

Calculated values
ΔE_f (raw)   -3.08 eV/atom
Space group   R-3 (148)